Run 1
VASP calculation (PBE) on a geometry-optimized KC5 structure.

Fermi-level density of states: 3.888 states/eV/cell
symmetry: No. 8

Cell: 16.8888 2.5142 3.8033 Å, 90.00 90.13 90.00°
Last column: nearest neighbours and their distance in Å.
Atoms (fractional coordinates):
K (0.0000, 0.0000, 0.0000)  2 K 2.51
K (0.5000, 0.5000, 0.0000)  2 K 2.51
C (0.1136, 0.5000, 0.5016)  1 C 1.37
C (0.1947, 0.5000, 0.5005)  3 C 1.37-1.46
C (0.2384, 0.0000, 0.4998)  3 C 1.44-1.46
C (0.3236, 0.0000, 0.4987)  3 C 1.44-1.45
C (0.3664, 0.5000, 0.4983)  2 C 1.45
C (0.6136, 0.0000, 0.5016)  1 C 1.37
C (0.6947, 0.0000, 0.5005)  3 C 1.37-1.46
C (0.7384, 0.5000, 0.4998)  3 C 1.44-1.46
C (0.8236, 0.5000, 0.4987)  3 C 1.44-1.45
C (0.8664, 0.0000, 0.4983)  2 C 1.45

Run 2
VASP calculation (PBE) on a geometry-optimized KC5 structure.

Fermi-level density of states: 2.440 states/eV/cell
symmetry: No. 216

Cell: 4.8209 4.8209 4.8209 Å, 60.00 60.00 60.00°
Last column: nearest neighbours and their distance in Å.
Atoms (fractional coordinates):
K (0.0000, 0.0000, 0.0000)  16 C 2.95-2.96
C (0.2500, 0.2500, 0.2500)  12 C 2.78, 4 K 2.95
C (0.2583, 0.5806, 0.5806)  3 C 1.55
C (0.5806, 0.2583, 0.5806)  3 C 1.55
C (0.5806, 0.5806, 0.2583)  3 C 1.55
C (0.5806, 0.5806, 0.5806)  3 C 1.55

Run 3
VASP calculation (PBE) on a geometry-optimized KC5 structure.

Fermi-level density of states: 2.741 states/eV/cell
symmetry: No. 38

Cell: 4.5700 2.5964 17.4924 Å, 90.00 90.00 90.00°
Last column: nearest neighbours and their distance in Å.
Atoms (fractional coordinates):
K (0.0000, 0.0000, 0.0000)  2 K 2.60, 4 C 2.84
K (0.0000, 0.5000, 0.5000)  2 K 2.60, 4 C 2.84
C (0.0000, 0.0000, 0.1724)  2 C 1.30
C (0.0000, 0.0000, 0.6727)  2 C 1.30
C (0.0000, 0.5000, 0.1727)  2 C 1.30
C (0.0000, 0.5000, 0.6724)  2 C 1.30
C (0.5000, 0.0000, 0.3585)  3 C 1.40-1.44
C (0.5000, 0.0000, 0.4383)  1 C 1.40
C (0.5000, 0.0000, 0.8229)  2 C 1.44
C (0.5000, 0.5000, 0.3229)  2 C 1.44
C (0.5000, 0.5000, 0.8585)  3 C 1.40-1.44
C (0.5000, 0.5000, 0.9383)  1 C 1.40

Run 4
VASP calculation (PBE) on a geometry-optimized KC5 structure.

Fermi-level density of states: 1.149 states/eV/cell
symmetry: No. 123

Cell: 2.5646 2.5646 9.1328 Å, 90.00 90.00 90.00°
Last column: nearest neighbours and their distance in Å.
Atoms (fractional coordinates):
K (0.0000, 0.0000, 0.0000)  4 K 2.56, 2 C 2.75
C (0.0000, 0.0000, 0.3010)  4 C 1.87
C (0.0000, 0.0000, 0.6990)  4 C 1.87
C (0.5000, 0.5000, 0.3519)  1 C 1.35
C (0.5000, 0.5000, 0.5000)  2 C 1.35
C (0.5000, 0.5000, 0.6481)  1 C 1.35

It turns out run 1 is the most stable, with the second structure 331 meV/atom higher.

Run 1
VASP calculation (PBE) on a geometry-optimized K4C5 structure.

Fermi-level density of states: 23.924 states/eV/cell
symmetry: No. 193

Cell: 8.7283 8.7283 7.9517 Å, 90.00 90.00 120.00°
Last column: nearest neighbours and their distance in Å.
Atoms (fractional coordinates):
K (0.0000, 0.0000, 0.0000)  6 C 2.94
K (0.0000, 0.0000, 0.5000)  6 C 2.94
K (0.0000, 0.4141, 0.2500)  7 C 2.95-3.30
K (0.0000, 0.5859, 0.7500)  7 C 2.95-3.30
K (0.4141, 0.0000, 0.2500)  7 C 2.95-3.30
K (0.4141, 0.4141, 0.7500)  7 C 2.95-3.30
K (0.5859, 0.0000, 0.7500)  7 C 2.95-3.30
K (0.5859, 0.5859, 0.2500)  7 C 2.95-3.30
C (0.0000, 0.2484, 0.7500)  5 K 2.94-3.15
C (0.0000, 0.7516, 0.2500)  5 K 2.94-3.15
C (0.2484, 0.0000, 0.7500)  5 K 2.94-3.15
C (0.2484, 0.2484, 0.2500)  5 K 2.94-3.15
C (0.3333, 0.6667, 0.0000)  6 K 3.30
C (0.3333, 0.6667, 0.5000)  6 K 3.30
C (0.6667, 0.3333, 0.0000)  6 K 3.30
C (0.6667, 0.3333, 0.5000)  6 K 3.30
C (0.7516, 0.0000, 0.2500)  5 K 2.94-3.15
C (0.7516, 0.7516, 0.7500)  5 K 2.94-3.15

Run 2
VASP calculation (PBE) on a geometry-optimized K4C5 structure.

Fermi-level density of states: 2.238 states/eV/cell
symmetry: No. 139

Cell: 8.7003 8.7003 8.7003 Å, 92.33 92.33 156.72°
Last column: nearest neighbours and their distance in Å.
Atoms (fractional coordinates):
K (0.0000, 0.2394, 0.2394)  5 C 2.86-2.88
K (0.0000, 0.7606, 0.7606)  5 C 2.86-2.88
K (0.2394, 0.0000, 0.2394)  5 C 2.86-2.88
K (0.7606, 0.0000, 0.7606)  5 C 2.86-2.88
C (0.0000, 0.0000, 0.0000)  8 C 2.06
C (0.4366, 0.4366, 0.8732)  2 C 1.53
C (0.4366, 0.5634, 0.0000)  2 C 1.53
C (0.5634, 0.4366, 0.0000)  2 C 1.53
C (0.5634, 0.5634, 0.1268)  2 C 1.53

It turns out run 2 is the most stable, with the second structure 1615 meV/atom higher.